The following is a DFT calculation (GGA-PBE) of crystalline Ti2Ir5RuW at its relaxed geometry.

## Properties
DFT formation energy: 0.174 eV per atom
Fermi-level density of states: 22.69 states/eV/cell
final energy: -161.512 eV per cell

The structure in POSCAR format:
```
Ti2Ir5RuW
1.0
-3.590 3.590 5.472
3.590 -3.590 5.472
3.590 3.590 -5.472
Ti Ir Ru W
4 10 2 2
direct
0.113 0.613 0.725
0.387 0.113 0.500
0.613 0.887 0.500
0.887 0.387 0.275
0.000 0.000 0.000
0.073 0.161 0.500
0.161 0.661 0.088
0.339 0.427 0.500
0.427 0.927 0.088
0.500 0.500 0.000
0.573 0.073 0.912
0.661 0.573 0.500
0.839 0.339 0.912
0.927 0.839 0.500
0.250 0.750 0.500
0.750 0.250 0.500
0.250 0.250 0.000
0.750 0.750 0.000
```

---

The following is a DFT calculation (GGA-PBE) of crystalline HfRePOs at its relaxed geometry.

## Properties
DFT formation energy: -0.295 eV per atom
Fermi-level density of states: 2.14 states/eV/cell
final energy: -40.219 eV per cell

The structure in POSCAR format:
```
HfRePOs
1.0
4.519 -1.575 0.000
4.519 1.575 0.000
-2.583 0.000 4.442
Hf Re P Os
1 1 1 1
direct
0.000 0.000 0.000
0.593 0.593 0.624
0.282 0.282 0.581
0.807 0.807 0.269
```